No. 1
SiNi2Br: relaxed, GGA-PBE.

ΔE to the lowest computed polymorph = 641 meV per atom
ΔE_f (raw) = 0.454 eV/atom
E = -33.687 eV per cell
Crystal system = monoclinic
N(E_F) = 0.582 states/eV per atom

a b c (Å): 5.616 7.479 3.189
angles (deg): 90.00 116.86 90.00
Space group C2/m (No. 12)
Symmetry-distinct sites (fractional):
Si 0.000 0.000 0.000 (multiplicity 2)
Ni 0.250 0.250 0.500 (multiplicity 4)
Br 0.000 0.500 0.000 (multiplicity 2)



No. 2
Sm12Ga2Hg5: relaxed, GGA-PBE.

ΔH_f (0 K) = -0.23 eV per atom
E = -137.291 eV per cell
Crystal system = monoclinic
N(E_F) = 1.272 states/eV per atom

a b c (Å): 17.363 7.124 9.127
angles (deg): 90.00 91.95 90.00
Space group C2/m (No. 12)
Symmetry-distinct sites (fractional):
Sm 0.008 0.000 0.303 (multiplicity 4)
Sm 0.034 0.500 0.187 (multiplicity 4)
Sm 0.151 0.250 0.519 (multiplicity 8)
Sm 0.161 0.250 0.932 (multiplicity 8)
Ga 0.000 0.172 0.000 (multiplicity 4)
Hg 0.000 0.500 0.500 (multiplicity 2)
Hg 0.208 0.000 0.243 (multiplicity 4)
Hg 0.223 0.500 0.253 (multiplicity 4)



No. 3
Rb2TbO2F2: relaxed, GGA-PBE.

ΔE_f (raw) = -2.636 eV/atom
E = -77.349 eV per cell
Crystal system = tetragonal
N(E_F) = 0.108 states/eV per atom

a b c (Å): 4.461 4.461 14.530
angles (deg): 90.00 90.00 90.00
Space group I4/mmm (No. 139)
Symmetry-distinct sites (fractional):
Rb 0.000 0.000 0.150 (multiplicity 4)
Tb 0.000 0.000 0.500 (multiplicity 2)
O 0.000 0.500 0.000 (multiplicity 4)
F 0.000 0.000 0.343 (multiplicity 4)



No. 4
Cd2TeOs: relaxed, GGA-PBE.

ΔE_f (raw) = 0.335 eV/atom
E = -29.723 eV per cell
Crystal system = monoclinic
N(E_F) = 0.717 states/eV per atom

a b c (Å): 9.738 3.202 6.642
angles (deg): 90.00 106.83 90.00
Space group Cm (No. 8)
Symmetry-distinct sites (fractional):
Cd 0.000 0.000 0.000 (multiplicity 2)
Cd 0.208 0.000 0.730 (multiplicity 2)
Te 0.362 0.000 0.407 (multiplicity 2)
Os 0.247 0.500 0.094 (multiplicity 2)



No. 5
Ho2PtSe: relaxed, GGA-PBE.

ΔE to the lowest computed polymorph = 39 meV per atom
ΔE_f (raw) = -1.480 eV/atom
E = -73.803 eV per cell
Crystal system = trigonal
N(E_F) = 0.518 states/eV per atom

a b c (Å): 3.9948 3.9948 21.1817
angles (deg): 90.00 90.00 120.00
Space group R-3m (No. 166, hexagonal axes)
Symmetry-distinct sites (fractional):
Ho 0.0000 0.0000 0.2435 (multiplicity 6)
Pt 0.0000 0.0000 0.5000 (multiplicity 3)
Se 0.0000 0.0000 0.0000 (multiplicity 3)



No. 6
Sr2La2Cr: relaxed, GGA-PBE.

ΔH_f (0 K) = 0.79 eV per atom
ΔE to the lowest computed polymorph = 234 meV per atom
E = -37.804 eV per cell
Crystal system = tetragonal
N(E_F) = 1.023 states/eV per atom

a b c (Å): 4.578 4.578 19.285
angles (deg): 90.00 90.00 90.00
Space group I4/mmm (No. 139)
Symmetry-distinct sites (fractional):
Sr 0.000 0.500 0.250 (multiplicity 4)
La 0.000 0.000 0.080 (multiplicity 4)
Cr 0.000 0.000 0.500 (multiplicity 2)



No. 7
Na2TbCdPb2: relaxed, GGA-PBE.

ΔH_f (0 K) = -0.25 eV per atom
E = -34.191 eV per cell
Crystal system = orthorhombic
N(E_F) = 0.539 states/eV per atom

a b c (Å): 4.883 9.375 7.500
angles (deg): 90.00 90.00 90.00
Space group Pmc2_1 (No. 26)
Symmetry-distinct sites (fractional):
Na 0.000 0.057 0.000 (multiplicity 2)
Na 0.500 0.168 0.294 (multiplicity 2)
Tb 0.500 0.469 0.948 (multiplicity 2)
Cd 0.000 0.312 0.612 (multiplicity 2)
Pb 0.000 0.378 0.213 (multiplicity 2)
Pb 0.500 0.168 0.737 (multiplicity 2)



No. 8
SmAl11Cu: relaxed, GGA-PBE.

ΔH_f (0 K) = -0.12 eV per atom
E = -103.145 eV per cell
Crystal system = monoclinic
N(E_F) = 0.453 states/eV per atom

a b c (Å): 5.261 12.607 7.199
angles (deg): 90.00 108.57 90.00
Space group C2/m (No. 12)
Symmetry-distinct sites (fractional):
Sm 0.000 0.000 0.000 (multiplicity 2)
Al 0.000 0.000 0.500 (multiplicity 2)
Al 0.106 0.392 0.228 (multiplicity 8)
Al 0.171 0.177 0.355 (multiplicity 8)
Al 0.250 0.250 0.000 (multiplicity 4)
Cu 0.000 0.500 0.500 (multiplicity 2)



No. 9
Ho12GaFe6: relaxed, GGA-PBE.

ΔH_f (0 K) = -0.08 eV per atom
E = -220.689 eV per cell
Crystal system = cubic
N(E_F) = 0.926 states/eV per atom

a b c (Å): 9.594 9.594 9.594
angles (deg): 90.00 90.00 90.00
Space group Im-3 (No. 204)
Symmetry-distinct sites (fractional):
Ho 0.000 0.194 0.296 (multiplicity 24)
Ga 0.000 0.000 0.000 (multiplicity 2)
Fe 0.000 0.389 0.500 (multiplicity 12)



No. 10
SiOsBr: relaxed, GGA-PBE.

ΔE to the lowest computed polymorph = 949 meV per atom
ΔE_f (raw) = 1.237 eV/atom
E = -58.456 eV per cell
Crystal system = cubic
N(E_F) = 0.718 states/eV per atom

a b c (Å): 6.016 6.016 6.016
angles (deg): 90.00 90.00 90.00
Space group F-43m (No. 216)
Symmetry-distinct sites (fractional):
Si 0.000 0.000 0.000 (multiplicity 4)
Os 0.250 0.250 0.250 (multiplicity 4)
Br 0.250 0.250 0.750 (multiplicity 4)



No. 11
RbOs2Br: relaxed, GGA-PBE.

ΔE to the lowest computed polymorph = 1253 meV per atom
ΔE_f (raw) = 2.610 eV/atom
E = -58.634 eV per cell
Crystal system = cubic
N(E_F) = 1.345 states/eV per atom

a b c (Å): 6.758 6.758 6.758
angles (deg): 90.00 90.00 90.00
Space group Fm-3m (No. 225)
Symmetry-distinct sites (fractional):
Rb 0.000 0.000 0.000 (multiplicity 4)
Os 0.250 0.250 0.250 (multiplicity 8)
Br 0.000 0.000 0.500 (multiplicity 4)



No. 12
ThHgBi: relaxed, GGA-PBE.

ΔH_f (0 K) = -0.36 eV per atom
ΔE to the lowest computed polymorph = 0 meV per atom
E = -25.337 eV per cell
Crystal system = tetragonal
N(E_F) = 0.929 states/eV per atom

a b c (Å): 4.572 4.572 8.723
angles (deg): 90.00 90.00 90.00
Space group P4/nmm (No. 129, origin choice 2)
Symmetry-distinct sites (fractional):
Th 0.250 0.250 0.208 (multiplicity 2)
Hg 0.250 0.750 0.500 (multiplicity 2)
Bi 0.250 0.250 0.832 (multiplicity 2)



No. 13
LaPm2PuO8: relaxed, GGA-PBE.

ΔE_f (raw) = -3.028 eV/atom
E = -104.759 eV per cell
Crystal system = monoclinic
N(E_F) = 0.131 states/eV per atom

a b c (Å): 4.079 7.631 5.544
angles (deg): 90.00 96.27 90.00
Space group P2/m (No. 10)
Symmetry-distinct sites (fractional):
La 0.000 0.000 0.000 (multiplicity 1)
Pm 0.500 0.245 0.500 (multiplicity 2)
Pu 0.000 0.500 0.000 (multiplicity 1)
O 0.048 0.286 0.764 (multiplicity 4)
O 0.422 0.500 0.214 (multiplicity 2)
O 0.498 0.000 0.743 (multiplicity 2)



No. 14
Ti4Co3: relaxed, GGA-PBE.

ΔH_f (0 K) = -0.30 eV per atom
ΔE to the lowest computed polymorph = 0 meV per atom
E = -330.188 eV per cell
Crystal system = trigonal
N(E_F) = 1.070 states/eV per atom

a b c (Å): 11.2724 11.2724 5.1694
angles (deg): 90.00 90.00 120.00
Space group R-3 (No. 148, hexagonal axes)
Symmetry-distinct sites (fractional):
Ti 0.0000 0.0000 0.0000 (multiplicity 3)
Ti 0.0000 0.0000 0.5000 (multiplicity 3)
Ti 0.0494 0.8063 0.1665 (multiplicity 18)
Co 0.0468 0.8080 0.6698 (multiplicity 18)



No. 15
KOs2Rh: relaxed, GGA-PBE.

ΔH_f (0 K) = 1.66 eV per atom
ΔE to the lowest computed polymorph = 1003 meV per atom
E = -24.258 eV per cell
Crystal system = tetragonal
N(E_F) = 1.452 states/eV per atom

a b c (Å): 5.112 5.112 2.642
angles (deg): 90.00 90.00 90.00
Space group P4/mmm (No. 123)
Symmetry-distinct sites (fractional):
K 0.000 0.000 0.000 (multiplicity 1)
Os 0.000 0.500 0.500 (multiplicity 2)
Rh 0.500 0.500 0.000 (multiplicity 1)



No. 16
NiBPb2: relaxed, GGA-PBE.

ΔH_f (0 K) = 0.90 eV per atom
E = -65.138 eV per cell
Crystal system = tetragonal
N(E_F) = 0.748 states/eV per atom

a b c (Å): 6.066 6.066 9.997
angles (deg): 90.00 90.00 90.00
Space group I-42d (No. 122)
Symmetry-distinct sites (fractional):
Ni 0.000 0.000 0.000 (multiplicity 4)
B 0.000 0.000 0.500 (multiplicity 4)
Pb 0.217 0.250 0.625 (multiplicity 8)



No. 17
LiY2UAs4: relaxed, GGA-PBE.

ΔH_f (0 K) = -1.01 eV per atom
E = -52.833 eV per cell
Crystal system = monoclinic
N(E_F) = 0.604 states/eV per atom

a b c (Å): 6.953 4.099 7.062
angles (deg): 90.00 108.47 90.00
Space group P2/m (No. 10)
Symmetry-distinct sites (fractional):
Li 0.000 0.000 0.000 (multiplicity 1)
Y 0.000 0.500 0.500 (multiplicity 1)
Y 0.500 0.000 0.500 (multiplicity 1)
U 0.500 0.500 0.000 (multiplicity 1)
As 0.253 0.000 0.759 (multiplicity 2)
As 0.257 0.500 0.240 (multiplicity 2)



No. 18
NdHoN: relaxed, GGA-PBE.

ΔE to the lowest computed polymorph = 5 meV per atom
ΔE_f (raw) = -0.951 eV/atom
E = -20.525 eV per cell
Crystal system = trigonal
N(E_F) = 0.983 states/eV per atom

a b c (Å): 3.5400 3.5400 6.2539
angles (deg): 90.00 90.00 120.00
Space group P3m1 (No. 156)
Symmetry-distinct sites (fractional):
Nd 0.0000 0.0000 0.0000 (multiplicity 1)
Ho 0.3333 0.6667 0.4372 (multiplicity 1)
N 0.6667 0.3333 0.2505 (multiplicity 1)



No. 19
HoAlPbS4: relaxed, GGA-PBE.

ΔE_f (raw) = -1.220 eV/atom
E = -74.159 eV per cell
Crystal system = monoclinic
N(E_F) = 0.000 states/eV per atom

a b c (Å): 6.525 6.669 7.981
angles (deg): 90.00 106.89 90.00
Space group P2_1/m (No. 11)
Symmetry-distinct sites (fractional):
Ho 0.220 0.250 0.055 (multiplicity 2)
Al 0.241 0.750 0.819 (multiplicity 2)
Pb 0.254 0.250 0.567 (multiplicity 2)
S 0.004 0.004 0.774 (multiplicity 4)
S 0.446 0.750 0.640 (multiplicity 2)
S 0.452 0.750 0.094 (multiplicity 2)



No. 20
Ba2SrCu: relaxed, GGA-PBE.

ΔH_f (0 K) = 0.07 eV per atom
ΔE to the lowest computed polymorph = 57 meV per atom
E = -18.707 eV per cell
Crystal system = orthorhombic
N(E_F) = 1.150 states/eV per atom

a b c (Å): 4.127 6.407 13.433
angles (deg): 90.00 90.00 90.00
Space group Imm2 (No. 44)
Symmetry-distinct sites (fractional):
Ba 0.000 0.000 0.000 (multiplicity 2)
Ba 0.000 0.500 0.181 (multiplicity 2)
Sr 0.000 0.000 0.362 (multiplicity 2)
Cu 0.000 0.500 0.686 (multiplicity 2)